(1)
# MgIrRu2 (SCAN, PBEsol geometry)
data_MgIrRu2
_chemical_formula_sum 'Mg2 Ir2 Ru4'
_space_group_name_H-M_alt 'I m m 2'
_space_group_IT_number 44
_cell_length_a 2.900
_cell_length_b 4.450
_cell_length_c 8.720
_cell_angle_alpha 90.00
_cell_angle_beta 90.00
_cell_angle_gamma 90.00
loop_
_space_group_symop_operation_xyz
'x,y,z'
'-x,-y,z'
'-x,y,z'
'x,-y,z'
'x+1/2,y+1/2,z+1/2'
'-x+1/2,-y+1/2,z+1/2'
'-x+1/2,y+1/2,z+1/2'
'x+1/2,-y+1/2,z+1/2'
loop_
_atom_site_label
_atom_site_type_symbol
_atom_site_fract_x
_atom_site_fract_y
_atom_site_fract_z
_atom_site_occupancy
Mg1 Mg 0.000 0.000 0.000 1
Ir1 Ir 0.000 0.500 0.250 1
Ru1 Ru 0.000 0.000 0.495 1
Ru2 Ru 0.000 0.500 0.750 1
# Crystal system: orthorhombic
# Size of the total moment: 0.000 Bohr magnetons per cell
# E_form: 0.0904 eV/atom



(2)
# BaSn2Ru2 (SCAN, PBEsol geometry)
data_BaSn2Ru2
_chemical_formula_sum 'Ba2 Sn4 Ru4'
_space_group_name_H-M_alt 'I 4/m m m'
_space_group_IT_number 139
_space_group_name_Hall '-I 4 2'
_cell_length_a 4.618
_cell_length_b 4.618
_cell_length_c 11.005
_cell_angle_alpha 90.00
_cell_angle_beta 90.00
_cell_angle_gamma 90.00
loop_
_atom_site_label
_atom_site_type_symbol
_atom_site_fract_x
_atom_site_fract_y
_atom_site_fract_z
_atom_site_occupancy
Ba1 Ba 0.000 0.000 0.000 1
Sn1 Sn 0.000 0.000 0.357 1
Ru1 Ru 0.000 0.500 0.250 1
# Crystal system: tetragonal
# Size of the total moment: 0.000 Bohr magnetons per cell
# E_form: -0.2732 eV/atom



(3)
# HgH4C2N4Cl2 (SCAN, PBEsol geometry)
data_HgH4C2N4Cl2
_chemical_formula_sum 'Hg1 H4 C2 N4 Cl2'
_space_group_name_H-M_alt 'P 1'
_space_group_IT_number 1
_cell_length_a 3.964
_cell_length_b 6.776
_cell_length_c 6.783
_cell_angle_alpha 79.12
_cell_angle_beta 84.40
_cell_angle_gamma 84.87
loop_
_space_group_symop_operation_xyz
'x,y,z'
loop_
_atom_site_label
_atom_site_type_symbol
_atom_site_fract_x
_atom_site_fract_y
_atom_site_fract_z
_atom_site_occupancy
Hg1 Hg 0.000 0.000 0.000 1
H1 H 0.131 0.376 0.667 1
H2 H 0.214 0.608 0.731 1
H3 H 0.720 0.576 0.237 1
H4 H 0.880 0.358 0.396 1
C1 C 0.965 0.624 0.474 1
C2 C 0.982 0.955 0.524 1
N1 N 0.025 0.091 0.606 1
N2 N 0.110 0.531 0.639 1
N3 N 0.858 0.511 0.355 1
N4 N 0.921 0.826 0.418 1
Cl1 Cl 0.440 0.743 0.962 1
Cl2 Cl 0.548 0.238 0.060 1
# Raw total energy: -12.20 eV/atom
# Crystal system: triclinic
# Size of the total moment: 0.000 Bohr magnetons per cell